1.
The following is a DFT calculation (PBE-GGA) of an optimized crystal structure of YTmAl2Pd4.

```
YTmAl2Pd4
1.0
-4.347 0.101 0.160
2.021 -0.715 -3.786
-0.149 -8.941 1.608
Al Pd Tm Y
2 4 1 1
Cartesian
-2.261 -2.392 -0.756 Al
-2.336 -6.890 0.053 Al
-0.126 -1.917 -2.206 Pd
-0.049 -2.920 0.525 Pd
-0.100 -6.021 1.083 Pd
-0.226 -7.910 -1.128 Pd
0.000 0.000 0.000 Tm
-0.176 -4.913 -1.667 Y
```

Calculated values
Calculated total energy (eV/atom): -5.844
Magnetization (μB/cell): 0.01

2.
The following is a DFT calculation (PBE-GGA) of an optimized crystal structure of LiPmSb2.

```
LiPmSb2
1.0
4.317 0.000 0.000
0.000 4.317 0.000
0.000 0.000 10.854
Li Pm Sb
2 2 4
Cartesian
0.000 0.000 0.000 Li
2.159 2.159 0.000 Li
0.000 2.159 2.883 Pm
2.159 0.000 7.970 Pm
2.159 0.000 1.786 Sb
0.000 0.000 5.427 Sb
2.159 2.159 5.427 Sb
0.000 2.159 9.068 Sb
```

Calculated values
Calculated total energy (eV/atom): -4.572
Magnetization (μB/cell): 0.00

3.
The following is a DFT calculation (PBE-GGA) of an optimized crystal structure of KPaBe.

```
KPaBe
1.0
-0.518 -0.654 4.853
-4.349 0.847 2.148
-2.678 -3.764 1.705
Be K Pa
1 1 1
Cartesian
0.000 0.000 0.000 Be
-1.886 -0.893 2.177 K
-5.659 -2.678 6.530 Pa
```

Calculated values
Calculated total energy (eV/atom): -3.228
Magnetization (μB/cell): 1.47

4.
The following is a DFT calculation (PBE-GGA) of an optimized crystal structure of LiCoIr2.

```
LiCoIr2
1.0
0.000 2.966 2.966
2.966 0.000 2.966
2.966 2.966 0.000
Co Ir Li
1 2 1
Cartesian
1.483 1.483 1.483 Co
0.000 0.000 0.000 Ir
4.449 4.449 4.449 Ir
2.966 2.966 2.966 Li
```

Calculated values
Calculated total energy (eV/atom): -6.561
Magnetization (μB/cell): 2.00

5.
The following is a DFT calculation (PBE-GGA) of an optimized crystal structure of HfFeBiPd.

```
HfFeBiPd
1.0
0.000 3.288 3.288
3.288 0.000 3.288
3.288 3.288 0.000
Bi Fe Hf Pd
1 1 1 1
Cartesian
0.000 0.000 0.000 Bi
4.931 4.931 4.931 Fe
3.288 3.288 3.288 Hf
1.644 1.644 1.644 Pd
```

Calculated values
Calculated total energy (eV/atom): -6.948
Magnetization (μB/cell): 1.68

6.
The following is a DFT calculation (PBE-GGA) of an optimized crystal structure of CuRe3F.

```
CuRe3F
1.0
-3.841 -1.097 1.100
1.388 -3.740 1.119
0.697 1.406 3.834
Cu F Re
1 1 3
Cartesian
0.000 0.000 0.000 Cu
-0.878 -1.715 3.027 F
-1.226 -2.418 1.110 Re
-1.572 0.155 2.467 Re
1.043 -1.167 2.477 Re
```

Calculated values
Calculated total energy (eV/atom): -7.049
Magnetization (μB/cell): 0.01